(1)
## Li2TiP5O15 (GGA-PBEsol)

Data for a relaxed structure of Li2TiP5O15.

crystal system = monoclinic
symmetry = Pc (7)
calculated volume = 703.72 Å³ per cell
total DFT energy (no corrections) = -0.2754 Ha/atom
energy relative to the elements, uncorrected = -5056 kJ/mol of formula units

Unit cell a=5.284 b=11.130 c=12.848 alpha=90.00 beta=111.35 gamma=90.00
Fractional coordinates of all 46 atoms:
Li 0.000 0.031 0.000
Li 0.000 0.969 0.500
Li 0.913 0.035 0.691
Li 0.913 0.965 0.191
Ti 0.948 0.496 0.088
Ti 0.948 0.504 0.588
P 0.378 0.343 0.513
P 0.378 0.657 0.013
P 0.451 0.092 0.456
P 0.451 0.908 0.956
P 0.463 0.090 0.234
P 0.463 0.910 0.734
P 0.519 0.339 0.166
P 0.519 0.661 0.666
P 0.946 0.474 0.338
P 0.946 0.526 0.838
O 0.178 0.060 0.159
O 0.178 0.940 0.659
O 0.194 0.382 0.387
O 0.194 0.618 0.887
O 0.223 0.362 0.143
O 0.223 0.638 0.643
O 0.243 0.005 0.927
O 0.243 0.995 0.427
O 0.258 0.392 0.593
O 0.258 0.608 0.093
O 0.336 0.202 0.509
O 0.336 0.798 0.009
O 0.457 0.156 0.344
O 0.457 0.844 0.844
O 0.574 0.198 0.178
O 0.574 0.802 0.678
O 0.641 0.384 0.085
O 0.641 0.616 0.585
O 0.669 0.371 0.531
O 0.669 0.629 0.031
O 0.673 0.006 0.764
O 0.673 0.994 0.264
O 0.689 0.387 0.289
O 0.689 0.613 0.789
O 0.737 0.065 0.532
O 0.737 0.935 0.032
O 0.910 0.453 0.930
O 0.910 0.547 0.430
O 0.989 0.458 0.745
O 0.989 0.542 0.245

=====

(2)
## Li3Ti2P3O12 (GGA-PBEsol)

Data for a relaxed structure of Li3Ti2P3O12.

crystal system = monoclinic
symmetry = P2/c (13)
calculated volume = 906.92 Å³ per cell
relative energy among the computed polymorphs = 32 meV per atom
total DFT energy (no corrections) = -0.2789 Ha/atom
energy relative to the elements, uncorrected = -4715 kJ/mol of formula units

Unit cell a=8.398 b=8.767 c=12.342 alpha=90.00 beta=93.54 gamma=90.00
Fractional coordinates of all 80 atoms:
Li 0.000 0.000 0.000
Li 0.000 0.000 0.500
Li 0.000 0.101 0.250
Li 0.000 0.899 0.750
Li 0.249 0.311 0.560
Li 0.249 0.689 0.060
Li 0.500 0.399 0.250
Li 0.500 0.500 0.000
Li 0.500 0.500 0.500
Li 0.500 0.601 0.750
Li 0.751 0.311 0.940
Li 0.751 0.689 0.440
Ti 0.215 0.497 0.856
Ti 0.215 0.503 0.356
Ti 0.287 0.003 0.145
Ti 0.287 0.997 0.645
Ti 0.713 0.003 0.355
Ti 0.713 0.997 0.855
Ti 0.785 0.497 0.644
Ti 0.785 0.503 0.144
P 0.000 0.202 0.750
P 0.000 0.798 0.250
P 0.158 0.357 0.104
P 0.158 0.643 0.604
P 0.340 0.143 0.396
P 0.340 0.857 0.896
P 0.500 0.301 0.750
P 0.500 0.699 0.250
P 0.660 0.143 0.104
P 0.660 0.857 0.604
P 0.842 0.357 0.396
P 0.842 0.643 0.896
O 0.018 0.403 0.396
O 0.018 0.597 0.896
O 0.066 0.095 0.663
O 0.066 0.905 0.163
O 0.127 0.303 0.808
O 0.127 0.697 0.308
O 0.160 0.184 0.084
O 0.160 0.816 0.584
O 0.244 0.091 0.493
O 0.244 0.100 0.290
O 0.244 0.900 0.790
O 0.244 0.909 0.993
O 0.248 0.402 0.213
O 0.248 0.598 0.713
O 0.249 0.448 0.019
O 0.249 0.552 0.519
O 0.357 0.320 0.413
O 0.357 0.680 0.913
O 0.369 0.205 0.690
O 0.369 0.795 0.190
O 0.439 0.409 0.839
O 0.439 0.591 0.339
O 0.491 0.079 0.105
O 0.491 0.921 0.605
O 0.509 0.079 0.395
O 0.509 0.921 0.895
O 0.561 0.409 0.661
O 0.561 0.591 0.161
O 0.631 0.205 0.810
O 0.631 0.795 0.310
O 0.643 0.320 0.087
O 0.643 0.680 0.587
O 0.751 0.448 0.481
O 0.751 0.552 0.981
O 0.752 0.402 0.287
O 0.752 0.598 0.787
O 0.756 0.091 0.007
O 0.756 0.100 0.210
O 0.756 0.900 0.710
O 0.756 0.909 0.507
O 0.840 0.184 0.416
O 0.840 0.816 0.916
O 0.873 0.303 0.692
O 0.873 0.697 0.192
O 0.934 0.095 0.837
O 0.934 0.905 0.337
O 0.982 0.403 0.104
O 0.982 0.597 0.604

=====

(3)
## Li3TiP2O8 (GGA-PBEsol)

Data for a relaxed structure of Li3TiP2O8.

crystal system = monoclinic
symmetry = P2_1/c (14)
calculated volume = 547.66 Å³ per cell
relative energy among the computed polymorphs = 4 meV per atom
total DFT energy (no corrections) = -0.2676 Ha/atom
energy relative to the elements, uncorrected = -3295 kJ/mol of formula units

Unit cell a=4.947 b=17.836 c=7.728 alpha=90.00 beta=126.56 gamma=90.00
Fractional coordinates of all 56 atoms:
Li 0.009 0.060 0.214
Li 0.009 0.440 0.714
Li 0.285 0.116 0.999
Li 0.285 0.384 0.499
Li 0.362 0.700 0.684
Li 0.362 0.800 0.184
Li 0.638 0.200 0.816
Li 0.638 0.300 0.316
Li 0.715 0.616 0.501
Li 0.715 0.884 0.001
Li 0.991 0.560 0.286
Li 0.991 0.940 0.786
Ti 0.175 0.626 0.982
Ti 0.175 0.874 0.482
Ti 0.825 0.126 0.518
Ti 0.825 0.374 0.018
P 0.130 0.216 0.296
P 0.130 0.284 0.796
P 0.485 0.536 0.768
P 0.485 0.964 0.268
P 0.515 0.036 0.732
P 0.515 0.464 0.232
P 0.870 0.716 0.204
P 0.870 0.784 0.704
O 0.052 0.173 0.101
O 0.052 0.327 0.601
O 0.150 0.699 0.175
O 0.150 0.801 0.675
O 0.160 0.198 0.772
O 0.160 0.302 0.272
O 0.179 0.560 0.768
O 0.179 0.940 0.268
O 0.181 0.066 0.527
O 0.181 0.434 0.027
O 0.430 0.565 0.566
O 0.430 0.935 0.066
O 0.478 0.192 0.502
O 0.478 0.308 0.002
O 0.484 0.052 0.276
O 0.484 0.448 0.776
O 0.516 0.552 0.224
O 0.516 0.948 0.724
O 0.522 0.692 0.998
O 0.522 0.808 0.498
O 0.570 0.065 0.934
O 0.570 0.435 0.434
O 0.819 0.566 0.973
O 0.819 0.934 0.473
O 0.821 0.060 0.732
O 0.821 0.440 0.232
O 0.840 0.698 0.728
O 0.840 0.802 0.228
O 0.850 0.199 0.325
O 0.850 0.301 0.825
O 0.948 0.673 0.399
O 0.948 0.827 0.899

=====

(4)
## LiTi2P3O12 (GGA-PBEsol)

Data for a relaxed structure of LiTi2P3O12.

crystal system = triclinic
symmetry = P1 (1)
calculated volume = 451.23 Å³ per cell
relative energy among the computed polymorphs = 11 meV per atom
total DFT energy (no corrections) = -0.2963 Ha/atom
energy relative to the elements, uncorrected = -4455 kJ/mol of formula units

Unit cell a=8.348 b=8.370 c=8.850 alpha=117.88 beta=90.19 gamma=119.82
Fractional coordinates of all 36 atoms:
Li 0.000 0.000 0.000
Li 0.433 0.669 0.993
Ti 0.031 0.316 0.920
Ti 0.330 0.901 0.794
Ti 0.545 0.326 0.436
Ti 0.825 0.892 0.296
P 0.153 0.830 0.110
P 0.217 0.392 0.615
P 0.434 0.388 0.106
P 0.648 0.104 0.605
P 0.716 0.109 0.114
P 0.932 0.820 0.615
O 0.044 0.186 0.450
O 0.136 0.866 0.646
O 0.158 0.872 0.957
O 0.166 0.633 0.056
O 0.214 0.592 0.665
O 0.217 0.370 0.780
O 0.223 0.328 0.069
O 0.321 0.030 0.280
O 0.407 0.429 0.576
O 0.448 0.212 0.950
O 0.491 0.409 0.282
O 0.506 0.953 0.663
O 0.514 0.926 0.969
O 0.569 0.609 0.121
O 0.581 0.236 0.591
O 0.663 0.963 0.424
O 0.701 0.247 0.293
O 0.783 0.604 0.594
O 0.798 0.983 0.127
O 0.850 0.266 0.749
O 0.857 0.257 0.053
O 0.881 0.814 0.445
O 0.930 0.000 0.781
O 0.959 0.786 0.145

=====

(5)
## Li3Ti2P3O12 (GGA-PBEsol)

Data for a relaxed structure of Li3Ti2P3O12.

crystal system = cubic
symmetry = Ia-3d (230)
calculated volume = 814.26 Å³ per cell
relative energy among the computed polymorphs = 31 meV per atom
total DFT energy (no corrections) = -0.2789 Ha/atom
energy relative to the elements, uncorrected = -4718 kJ/mol of formula units

Unit cell a=10.189 b=10.189 c=10.189 alpha=109.47 beta=109.47 gamma=109.47
Fractional coordinates of all 80 atoms:
Li 0.125 0.250 0.375
Li 0.125 0.375 0.750
Li 0.250 0.375 0.125
Li 0.250 0.875 0.625
Li 0.375 0.125 0.250
Li 0.375 0.750 0.125
Li 0.625 0.250 0.875
Li 0.625 0.875 0.750
Li 0.750 0.125 0.375
Li 0.750 0.625 0.875
Li 0.875 0.625 0.250
Li 0.875 0.750 0.625
Ti 0.000 0.000 0.000
Ti 0.000 0.000 0.500
Ti 0.000 0.500 0.000
Ti 0.000 0.500 0.500
Ti 0.500 0.000 0.000
Ti 0.500 0.000 0.500
Ti 0.500 0.500 0.000
Ti 0.500 0.500 0.500
P 0.125 0.750 0.875
P 0.125 0.875 0.250
P 0.250 0.125 0.875
P 0.250 0.625 0.375
P 0.375 0.250 0.625
P 0.375 0.625 0.750
P 0.625 0.375 0.250
P 0.625 0.750 0.375
P 0.750 0.375 0.625
P 0.750 0.875 0.125
P 0.875 0.125 0.750
P 0.875 0.250 0.125
O 0.005 0.207 0.116
O 0.005 0.299 0.889
O 0.091 0.707 0.701
O 0.091 0.884 0.389
O 0.111 0.616 0.409
O 0.111 0.995 0.701
O 0.116 0.005 0.207
O 0.116 0.611 0.909
O 0.201 0.207 0.591
O 0.201 0.495 0.611
O 0.207 0.116 0.005
O 0.207 0.591 0.201
O 0.293 0.299 0.909
O 0.293 0.495 0.384
O 0.299 0.889 0.005
O 0.299 0.909 0.293
O 0.384 0.293 0.495
O 0.384 0.591 0.889
O 0.389 0.091 0.884
O 0.389 0.799 0.505
O 0.409 0.111 0.616
O 0.409 0.799 0.793
O 0.495 0.384 0.293
O 0.495 0.611 0.201
O 0.505 0.389 0.799
O 0.505 0.616 0.707
O 0.591 0.201 0.207
O 0.591 0.889 0.384
O 0.611 0.201 0.495
O 0.611 0.909 0.116
O 0.616 0.409 0.111
O 0.616 0.707 0.505
O 0.701 0.091 0.707
O 0.701 0.111 0.995
O 0.707 0.505 0.616
O 0.707 0.701 0.091
O 0.793 0.409 0.799
O 0.793 0.884 0.995
O 0.799 0.505 0.389
O 0.799 0.793 0.409
O 0.884 0.389 0.091
O 0.884 0.995 0.793
O 0.889 0.005 0.299
O 0.889 0.384 0.591
O 0.909 0.116 0.611
O 0.909 0.293 0.299
O 0.995 0.701 0.111
O 0.995 0.793 0.884

=====

(6)
## LiTiP2O7 (GGA-PBEsol)

Data for a relaxed structure of LiTiP2O7.

crystal system = monoclinic
symmetry = C2/c (15)
calculated volume = 499.24 Å³ per cell
relative energy among the computed polymorphs = 8 meV per atom
total DFT energy (no corrections) = -0.2849 Ha/atom
energy relative to the elements, uncorrected = -2573 kJ/mol of formula units

Unit cell a=6.359 b=6.359 c=13.351 alpha=105.36 beta=105.36 gamma=80.34
Fractional coordinates of all 44 atoms:
Li 0.028 0.237 0.154
Li 0.237 0.028 0.654
Li 0.763 0.972 0.346
Li 0.972 0.763 0.846
Ti 0.130 0.597 0.359
Ti 0.403 0.870 0.141
Ti 0.597 0.130 0.859
Ti 0.870 0.403 0.641
P 0.090 0.249 0.863
P 0.249 0.090 0.363
P 0.330 0.412 0.571
P 0.412 0.330 0.071
P 0.588 0.670 0.929
P 0.670 0.588 0.429
P 0.751 0.910 0.637
P 0.910 0.751 0.137
O 0.019 0.571 0.196
O 0.070 0.889 0.123
O 0.099 0.270 0.313
O 0.111 0.930 0.377
O 0.186 0.333 0.627
O 0.203 0.383 0.978
O 0.214 0.600 0.519
O 0.270 0.099 0.813
O 0.333 0.186 0.127
O 0.383 0.203 0.478
O 0.400 0.786 0.981
O 0.429 0.981 0.304
O 0.445 0.544 0.358
O 0.456 0.555 0.142
O 0.544 0.445 0.858
O 0.555 0.456 0.642
O 0.571 0.019 0.696
O 0.600 0.214 0.019
O 0.617 0.797 0.522
O 0.667 0.814 0.873
O 0.730 0.901 0.187
O 0.786 0.400 0.481
O 0.797 0.617 0.022
O 0.814 0.667 0.373
O 0.889 0.070 0.623
O 0.901 0.730 0.687
O 0.930 0.111 0.877
O 0.981 0.429 0.804

=====

Table of total magnetization (μB/atom), in record order: 0.043, 0.100, 0.071, 0.000, 0.100, 0.091